First-principles (SCAN) data for a PBEsol-optimized structure of Ni2PbW, as listed in Alexandria.

energy of formation: 0.56 eV per atom
V: 58.8 Å³/f.u.
crystal system: monoclinic
size of the total moment: 0.0 μB per formula unit

Cell lengths 2.864, 4.108, 5.199 Å; angles 90.00, 105.88, 90.00 degrees
Sites, in units of the cell vectors:
Ni 0.000 0.000 0.000
Ni 0.143 0.500 0.286
Pb 0.738 0.000 0.476
W 0.423 0.500 0.844

=====

First-principles (SCAN) data for a PBEsol-optimized structure of TaHg2Te, as listed in Alexandria.

V: 90.1 Å³/f.u.
energy relative to the elements, uncorrected: 0.128 eV per atom
crystal system: trigonal
size of the total moment: 0.0 μB per formula unit

Cell lengths 9.321, 9.321, 9.321 Å; angles 20.88, 20.88, 20.88 degrees
Sites, in units of the cell vectors:
Ta 0.000 0.000 0.000
Hg 0.253 0.253 0.253
Hg 0.502 0.502 0.502
Te 0.736 0.736 0.736

=====

First-principles (SCAN) data for a PBEsol-optimized structure of EuY2O4, as listed in Alexandria.

V: 112.5 Å³/f.u.
energy relative to the elements, uncorrected: -3.655 eV per atom
crystal system: cubic
size of the total moment: 7.0 μB per formula unit

Cell lengths 6.827, 6.827, 6.827 Å; angles 60.00, 60.00, 60.00 degrees
Sites, in units of the cell vectors:
Eu 0.125 0.125 0.125
Eu 0.875 0.875 0.875
Y 0.000 0.500 0.500
Y 0.500 0.000 0.500
Y 0.500 0.500 0.000
Y 0.500 0.500 0.500
O 0.265 0.265 0.265
O 0.265 0.265 0.704
O 0.265 0.704 0.265
O 0.296 0.735 0.735
O 0.704 0.265 0.265
O 0.735 0.296 0.735
O 0.735 0.735 0.296
O 0.735 0.735 0.735

=====

First-principles (SCAN) data for a PBEsol-optimized structure of KLiLa2, as listed in Alexandria.

energy of formation: 0.26 eV per atom
V: 149.1 Å³/f.u.
crystal system: tetragonal
size of the total moment: 0.6 μB per formula unit

Cell lengths 3.832, 3.832, 10.155 Å; angles 90.00, 90.00, 90.00 degrees
Sites, in units of the cell vectors:
K 0.000 0.000 0.000
Li 0.000 0.000 0.500
La 0.500 0.500 0.342
La 0.500 0.500 0.658

=====

First-principles (SCAN) data for a PBEsol-optimized structure of Pb2WBr, as listed in Alexandria.

V: 102.0 Å³/f.u.
energy relative to the elements, uncorrected: 1.099 eV per atom
crystal system: tetragonal
size of the total moment: 2.9 μB per formula unit

Cell lengths 6.560, 6.560, 6.560 Å; angles 142.93, 142.93, 53.43 degrees
Sites, in units of the cell vectors:
Pb 0.000 0.000 0.000
Pb 0.750 0.250 0.500
W 0.500 0.500 0.000
Br 0.250 0.750 0.500

=====

First-principles (SCAN) data for a PBEsol-optimized structure of RbSi2AgAu, as listed in Alexandria.

V: 148.3 Å³/f.u.
energy relative to the elements, uncorrected: 2.356 eV per atom
crystal system: tetragonal
size of the total moment: 0.0 μB per formula unit

Cell lengths 5.347, 5.347, 5.188 Å; angles 90.00, 90.00, 90.00 degrees
Sites, in units of the cell vectors:
Rb 0.000 0.000 0.000
Si 0.000 0.500 0.000
Si 0.500 0.000 0.000
Ag 0.000 0.000 0.500
Au 0.500 0.500 0.500

=====

First-principles (SCAN) data for a PBEsol-optimized structure of AlFeSb2, as listed in Alexandria.

V: 76.0 Å³/f.u.
energy relative to the elements, uncorrected: 0.291 eV per atom
crystal system: orthorhombic
size of the total moment: 1.9 μB per formula unit

Cell lengths 6.536, 6.536, 6.536 Å; angles 153.35, 142.52, 46.58 degrees
Sites, in units of the cell vectors:
Al 0.000 0.000 0.000
Fe 0.184 0.684 0.500
Sb 0.367 0.367 0.000
Sb 0.660 0.160 0.500

=====

First-principles (SCAN) data for a PBEsol-optimized structure of AlNi6Sb, as listed in Alexandria.

V: 93.0 Å³/f.u.
energy relative to the elements, uncorrected: -0.292 eV per atom
crystal system: orthorhombic
size of the total moment: 0.0 μB per formula unit

Cell lengths 6.224, 6.224, 10.185 Å; angles 90.00, 90.00, 109.44 degrees
Sites, in units of the cell vectors:
Al 0.000 0.000 0.243
Al 0.000 0.000 0.757
Al 0.250 0.750 0.000
Al 0.750 0.250 0.000
Ni 0.000 0.000 0.000
Ni 0.000 0.000 0.500
Ni 0.118 0.373 0.121
Ni 0.118 0.373 0.879
Ni 0.123 0.368 0.371
Ni 0.123 0.368 0.629
Ni 0.245 0.755 0.244
Ni 0.245 0.755 0.756
Ni 0.368 0.123 0.371
Ni 0.368 0.123 0.629
Ni 0.373 0.118 0.121
Ni 0.373 0.118 0.879
Ni 0.500 0.500 0.000
Ni 0.500 0.500 0.500
Ni 0.627 0.882 0.121
Ni 0.627 0.882 0.879
Ni 0.632 0.877 0.371
Ni 0.632 0.877 0.629
Ni 0.755 0.245 0.244
Ni 0.755 0.245 0.756
Ni 0.877 0.632 0.371
Ni 0.877 0.632 0.629
Ni 0.882 0.627 0.121
Ni 0.882 0.627 0.879
Sb 0.251 0.749 0.500
Sb 0.500 0.500 0.243
Sb 0.500 0.500 0.757
Sb 0.749 0.251 0.500

=====

First-principles (SCAN) data for a PBEsol-optimized structure of La3YSc, as listed in Alexandria.

energy of formation: 0.54 eV per atom
V: 179.5 Å³/f.u.
crystal system: cubic
size of the total moment: 0.2 μB per formula unit

Cell lengths 5.641, 5.641, 5.641 Å; angles 90.00, 90.00, 90.00 degrees
Sites, in units of the cell vectors:
La 0.000 0.000 0.500
La 0.000 0.500 0.000
La 0.500 0.000 0.000
Y 0.500 0.500 0.500
Sc 0.000 0.000 0.000

=====

First-principles (SCAN) data for a PBEsol-optimized structure of Ga7Pt3, as listed in Alexandria.

energy of formation: -0.63 eV per atom
V: 167.8 Å³/f.u.
crystal system: cubic
size of the total moment: 0.0 μB per formula unit

Cell lengths 7.582, 7.582, 7.582 Å; angles 109.47, 109.47, 109.47 degrees
Sites, in units of the cell vectors:
Ga 0.000 0.000 0.329
Ga 0.000 0.000 0.671
Ga 0.000 0.329 0.000
Ga 0.000 0.671 0.000
Ga 0.250 0.500 0.750
Ga 0.250 0.750 0.500
Ga 0.329 0.000 0.000
Ga 0.329 0.329 0.329
Ga 0.500 0.250 0.750
Ga 0.500 0.750 0.250
Ga 0.671 0.000 0.000
Ga 0.671 0.671 0.671
Ga 0.750 0.250 0.500
Ga 0.750 0.500 0.250
Pt 0.000 0.341 0.341
Pt 0.000 0.659 0.659
Pt 0.341 0.000 0.341
Pt 0.341 0.341 0.000
Pt 0.659 0.000 0.659
Pt 0.659 0.659 0.000

=====

First-principles (SCAN) data for a PBEsol-optimized structure of CoAsIrN2, as listed in Alexandria.

V: 65.1 Å³/f.u.
energy relative to the elements, uncorrected: 1.746 eV per atom
crystal system: tetragonal
size of the total moment: 4.9 μB per formula unit

Cell lengths 3.630, 3.630, 4.937 Å; angles 90.00, 90.00, 90.00 degrees
Sites, in units of the cell vectors:
Co 0.000 0.000 0.000
As 0.500 0.500 0.500
Ir 0.500 0.500 0.000
N 0.000 0.500 0.500
N 0.500 0.000 0.500

=====

First-principles (SCAN) data for a PBEsol-optimized structure of Sb4S5Cl2, as listed in Alexandria.

V: 271.2 Å³/f.u.
energy relative to the elements, uncorrected: -0.416 eV per atom
crystal system: orthorhombic
size of the total moment: 0.0 μB per formula unit

Cell lengths 10.484, 9.461, 10.935 Å; angles 90.00, 90.00, 90.00 degrees
Sites, in units of the cell vectors:
Sb 0.045 0.250 0.061
Sb 0.053 0.750 0.509
Sb 0.225 0.039 0.680
Sb 0.225 0.461 0.680
Sb 0.275 0.539 0.180
Sb 0.275 0.961 0.180
Sb 0.447 0.250 0.009
Sb 0.455 0.750 0.561
Sb 0.545 0.250 0.439
Sb 0.553 0.750 0.991
Sb 0.725 0.039 0.820
Sb 0.725 0.461 0.820
Sb 0.775 0.539 0.320
Sb 0.775 0.961 0.320
Sb 0.947 0.250 0.491
Sb 0.955 0.750 0.939
S 0.005 0.553 0.656
S 0.005 0.947 0.656
S 0.180 0.051 0.988
S 0.180 0.449 0.988
S 0.183 0.250 0.536
S 0.317 0.750 0.036
S 0.320 0.551 0.488
S 0.320 0.949 0.488
S 0.495 0.053 0.156
S 0.495 0.447 0.156
S 0.505 0.553 0.844
S 0.505 0.947 0.844
S 0.680 0.051 0.512
S 0.680 0.449 0.512
S 0.683 0.250 0.964
S 0.817 0.750 0.464
S 0.820 0.551 0.012
S 0.820 0.949 0.012
S 0.995 0.053 0.344
S 0.995 0.447 0.344
Cl 0.021 0.750 0.168
Cl 0.227 0.250 0.240
Cl 0.273 0.750 0.740
Cl 0.479 0.250 0.668
Cl 0.521 0.750 0.332
Cl 0.727 0.250 0.260
Cl 0.773 0.750 0.760
Cl 0.979 0.250 0.832

=====

One value per record, in order, for E_tot: -175.56, -239.65, -159.91, -95.89, -236.31, -129.51, -99.24, -144.38, -168.67, -331.28, -118.44, -217.72 eV/f.u..